1.
Os2PtW | PBE | relaxed

POSCAR file:
```
Os2PtW
1.0
2.7565 0.0000 0.0000
0.0000 3.9383 0.0000
0.0000 0.0000 5.5573
Os Pt W
2 1 1
Cartesian
0.0000 0.0000 0.0000
1.3783 1.9691 1.1919
0.0000 0.0000 2.7115
1.3783 1.9691 4.1540
```

Values from the calculation:
Polymorph energy (0 for the lowest one) (eV/atom): 0.066
Crystal system: orthorhombic
VASP energy (eV/cell): -41.5

***

2.
OsPt2W | PBE | relaxed

POSCAR file:
```
OsPt2W
1.0
1.3908 0.8030 9.2024
-1.3908 0.8030 9.2024
0.0000 -1.6059 9.2024
Os Pt W
1 2 1
Cartesian
0.0000 0.0000 0.0000
0.0000 0.0000 6.8435
0.0000 0.0000 13.6410
0.0000 0.0000 20.5687
```

Values from the calculation:
Polymorph energy (0 for the lowest one) (eV/atom): 0.072
Crystal system: trigonal
VASP energy (eV/cell): -36.4

***

3.
OsPtW2 | PBE | relaxed

POSCAR file:
```
OsPtW2
1.0
4.8225 0.0000 0.0000
0.0000 2.8088 0.0000
-1.6210 0.0000 4.5696
Os Pt W
1 1 2
Cartesian
0.0000 0.0000 0.0000
2.4113 1.4044 0.0000
-0.8105 1.4044 2.2848
1.6007 0.0000 2.2848
```

Values from the calculation:
Polymorph energy (0 for the lowest one) (eV/atom): 0.201
Crystal system: monoclinic
VASP energy (eV/cell): -42.9

***

| no. | calculated formation energy (meV/atom) | Fermi-level density of states (states/eV/cell) | V (Å³ per cell) |
| --- | --- | --- | --- |
| 1 | -11 | 2.934 | 60.3 |
| 2 | -38 | 4.519 | 61.7 |
| 3 | 58 | 3.748 | 61.9 |